Entry from Alexandria: a relaxed structure of As2WBr (GGA-PBE).

Unit cell a=6.553 b=6.553 c=6.553 alpha=90.00 beta=90.00 gamma=90.00
Positions (direct):
1 As 0.000 0.000 0.000
2 As 0.000 0.500 0.500
3 As 0.250 0.250 0.250
4 As 0.250 0.750 0.750
5 As 0.500 0.000 0.500
6 As 0.500 0.500 0.000
7 As 0.750 0.250 0.750
8 As 0.750 0.750 0.250
9 W 0.000 0.000 0.500
10 W 0.000 0.500 0.000
11 W 0.500 0.000 0.000
12 W 0.500 0.500 0.500
13 Br 0.250 0.250 0.750
14 Br 0.250 0.750 0.250
15 Br 0.750 0.250 0.250
16 Br 0.750 0.750 0.750

Summary:
E_form (uncorrected): 0.813 eV per atom
symmetry: F-43m, No. 216
crystal system: cubic